Computed, not measured: LiCeDyMn after structural relaxation at the GGA-PBE level of DFT.

Calculated values
Calculated formation energy   155 meV/atom
Total magnetization   1.26 μB/f.u.
Uncorrected energy   -5.25 eV per atom

Unit cell a=7.050 b=7.050 c=7.050 alpha=90.00 beta=90.00 gamma=90.00
Space group F-43m (No. 216)
Asymmetric unit:
Li  0.000  0.000  0.000 [4 per cell]
Ce  0.250  0.250  0.250 [4 per cell]
Dy  0.250  0.250  0.750 [4 per cell]
Mn  0.000  0.000  0.500 [4 per cell]